(1)
PbCO2: optimized geometry, PBE.

The structure in POSCAR format:
```
PbCO2
1.0
3.398 0.000 0.000
-1.699 2.943 0.000
0.000 0.000 31.833
Pb C O
3 3 6
direct
0.000 0.000 0.000
0.333 0.667 0.667
0.667 0.333 0.333
0.000 0.000 0.500
0.333 0.667 0.167
0.667 0.333 0.833
0.000 0.000 0.463
0.000 0.000 0.537
0.333 0.667 0.130
0.333 0.667 0.204
0.667 0.333 0.796
0.667 0.333 0.870
```

As for the total energy: -6.5126 eV per atom. As for the space group: No. 166. The value obtained for the volume is 318.38 Å³ per cell. As for the crystal system: trigonal.



(2)
Pb2CO5: optimized geometry, PBE.

The structure in POSCAR format:
```
Pb2CO5
1.0
4.606 0.000 0.000
-2.088 4.114 0.000
-0.276 -0.245 6.522
Pb C O
2 1 5
direct
0.000 0.000 0.000
0.311 0.591 0.478
0.657 0.276 0.688
0.203 0.532 0.172
0.480 0.117 0.501
0.517 0.129 0.859
0.713 0.605 0.668
0.975 0.293 0.697
```

As for the total energy: -6.1376 eV per atom. As for the space group: No. 1. The value obtained for the volume is 123.60 Å³ per cell. As for the crystal system: triclinic.



(3)
PbCO3: optimized geometry, PBE.

The structure in POSCAR format:
```
PbCO3
1.0
3.507 0.000 0.000
0.000 12.000 0.000
-0.658 0.000 4.442
Pb C O
2 2 6
direct
0.055 0.250 0.041
0.945 0.750 0.959
0.500 0.000 0.500
0.500 0.500 0.500
0.286 0.509 0.274
0.286 0.991 0.274
0.379 0.750 0.656
0.621 0.250 0.344
0.714 0.009 0.726
0.714 0.491 0.726
```

As for the total energy: -6.5939 eV per atom. As for the space group: No. 11. The value obtained for the volume is 186.97 Å³ per cell. As for the crystal system: monoclinic.



(4)
Pb2C2O7: optimized geometry, PBE.

The structure in POSCAR format:
```
Pb2C2O7
1.0
3.451 -4.536 0.000
3.451 4.536 0.000
-0.663 0.000 4.391
Pb C O
2 2 7
direct
0.198 0.802 0.000
0.802 0.198 0.000
0.295 0.295 0.574
0.705 0.705 0.426
0.147 0.405 0.737
0.163 0.163 0.315
0.405 0.147 0.737
0.500 0.500 0.500
0.595 0.853 0.263
0.837 0.837 0.685
0.853 0.595 0.263
```

As for the total energy: -6.3409 eV per atom. As for the space group: No. 12. The value obtained for the volume is 137.48 Å³ per cell. As for the crystal system: monoclinic.



(5)
Pb3CO6: optimized geometry, PBE.

The structure in POSCAR format:
```
Pb3CO6
1.0
4.780 -5.949 0.000
4.780 5.949 0.000
0.000 0.000 5.258
Pb C O
6 2 12
direct
0.090 0.910 0.500
0.198 0.425 0.576
0.425 0.198 0.076
0.575 0.802 0.576
0.802 0.575 0.076
0.910 0.090 0.000
0.284 0.716 0.141
0.716 0.284 0.641
0.102 0.653 0.281
0.116 0.178 0.286
0.178 0.116 0.786
0.262 0.738 0.894
0.347 0.898 0.281
0.393 0.607 0.211
0.607 0.393 0.711
0.653 0.102 0.781
0.738 0.262 0.394
0.822 0.884 0.286
0.884 0.822 0.786
0.898 0.347 0.781
```

As for the total energy: -6.0044 eV per atom. As for the space group: No. 36. The value obtained for the volume is 299.03 Å³ per cell. As for the crystal system: orthorhombic.



(6)
PbC2O2: optimized geometry, PBE.

The structure in POSCAR format:
```
PbC2O2
1.0
7.893 0.000 0.000
0.000 7.893 0.000
0.000 0.000 2.446
Pb C O
2 4 4
direct
0.000 0.000 0.000
0.500 0.500 0.000
0.191 0.309 0.500
0.309 0.809 0.500
0.691 0.191 0.500
0.809 0.691 0.500
0.120 0.380 0.000
0.380 0.880 0.000
0.620 0.120 0.000
0.880 0.620 0.000
```

As for the total energy: -5.3804 eV per atom. As for the space group: No. 127. The value obtained for the volume is 152.41 Å³ per cell. As for the crystal system: tetragonal.



(7)
PbCO3: optimized geometry, PBE.

The structure in POSCAR format:
```
PbCO3
1.0
6.289 0.000 0.000
0.000 5.237 0.000
0.000 0.000 8.583
Pb C O
4 4 12
direct
0.248 0.250 0.083
0.252 0.750 0.583
0.748 0.250 0.417
0.752 0.750 0.917
0.084 0.250 0.739
0.416 0.750 0.239
0.584 0.250 0.761
0.916 0.750 0.261
0.086 0.035 0.814
0.086 0.465 0.814
0.092 0.250 0.587
0.408 0.750 0.087
0.414 0.535 0.314
0.414 0.965 0.314
0.586 0.035 0.686
0.586 0.465 0.686
0.592 0.250 0.913
0.908 0.750 0.413
0.914 0.535 0.186
0.914 0.965 0.186
```

As for the total energy: -6.9511 eV per atom. As for the space group: No. 62. The value obtained for the volume is 282.69 Å³ per cell. As for the crystal system: orthorhombic.



(8)
Pb2C2O5: optimized geometry, PBE.

The structure in POSCAR format:
```
Pb2C2O5
1.0
4.427 -3.111 0.000
4.427 3.111 0.000
-0.606 0.000 6.481
Pb C O
2 2 5
direct
0.011 0.011 0.244
0.989 0.989 0.756
0.342 0.342 0.001
0.658 0.658 0.999
0.271 0.271 0.824
0.295 0.295 0.178
0.500 0.500 0.000
0.705 0.705 0.822
0.729 0.729 0.176
```

As for the total energy: -6.4771 eV per atom. As for the space group: No. 12. The value obtained for the volume is 178.54 Å³ per cell. As for the crystal system: monoclinic.



(9)
PbCO2: optimized geometry, PBE.

The structure in POSCAR format:
```
PbCO2
1.0
5.777 0.000 0.000
0.000 5.777 0.000
0.000 0.000 5.777
Pb C O
4 4 8
direct
0.000 0.000 0.000
0.000 0.500 0.500
0.500 0.000 0.500
0.500 0.500 0.000
0.000 0.000 0.500
0.000 0.500 0.000
0.500 0.000 0.000
0.500 0.500 0.500
0.250 0.250 0.250
0.250 0.250 0.750
0.250 0.750 0.250
0.250 0.750 0.750
0.750 0.250 0.250
0.750 0.250 0.750
0.750 0.750 0.250
0.750 0.750 0.750
```

As for the total energy: -4.4917 eV per atom. As for the space group: No. 225. The value obtained for the volume is 192.80 Å³ per cell. As for the crystal system: cubic.



(10)
PbC3O: optimized geometry, PBE.

The structure in POSCAR format:
```
PbC3O
1.0
3.876 0.000 0.000
0.000 3.876 0.000
0.000 0.000 3.876
Pb C O
1 3 1
direct
0.000 0.000 0.000
0.000 0.500 0.500
0.500 0.000 0.500
0.500 0.500 0.000
0.500 0.500 0.500
```

As for the total energy: -4.3382 eV per atom. As for the space group: No. 221. The value obtained for the volume is 58.24 Å³ per cell. As for the crystal system: cubic.



(11)
PmPbC2O6: optimized geometry, PBE.

The structure in POSCAR format:
```
PmPbC2O6
1.0
4.958 -4.371 0.000
4.958 4.371 0.000
-3.004 0.000 6.494
Pm Pb C O
2 2 4 12
direct
0.089 0.911 0.750
0.911 0.089 0.250
0.456 0.544 0.250
0.544 0.456 0.750
0.079 0.363 0.767
0.363 0.079 0.267
0.637 0.921 0.733
0.921 0.637 0.233
0.042 0.780 0.389
0.111 0.544 0.752
0.167 0.302 0.930
0.220 0.958 0.111
0.302 0.167 0.430
0.456 0.889 0.748
0.544 0.111 0.252
0.698 0.833 0.570
0.780 0.042 0.889
0.833 0.698 0.070
0.889 0.456 0.248
0.958 0.220 0.611
```

As for the total energy: -7.4561 eV per atom. As for the space group: No. 15. The value obtained for the volume is 281.45 Å³ per cell. As for the crystal system: monoclinic.



(12)
Pr6Pb2CO: optimized geometry, PBE.

The structure in POSCAR format:
```
Pr6Pb2CO
1.0
0.000 5.113 5.113
5.113 0.000 5.113
5.113 5.113 0.000
Pr Pb C O
6 2 1 1
direct
0.248 0.248 0.752
0.248 0.752 0.248
0.248 0.752 0.752
0.752 0.248 0.248
0.752 0.248 0.752
0.752 0.752 0.248
0.250 0.250 0.250
0.750 0.750 0.750
0.000 0.000 0.000
0.500 0.500 0.500
```

As for the total energy: -5.9315 eV per atom. As for the space group: No. 225. The value obtained for the volume is 267.38 Å³ per cell. As for the crystal system: cubic.